w | Pm3HgPt2 after structural relaxation, computed with GGA-PBE.

Unit cell a=3.901 b=4.648 c=8.846 alpha=90.00 beta=102.74 gamma=90.00
Element x y z (fractional)
Pm 0.338 0.000 0.677
Pm 0.662 0.000 0.323
Pm 0.500 0.500 0.000
Hg 0.000 0.000 0.000
Pt 0.134 0.500 0.268
Pt 0.866 0.500 0.732

Its crystal system is orthorhombic. For the spin magnetization, the calculation gives 0.0 μB/f.u. Its space group is Cmmm, No. 65. As for the calculated volume: 26.07 Å³/atom.



x | Pm3HgPt2 after structural relaxation, computed with GGA-PBE.

Unit cell a=3.609 b=3.609 c=11.357 alpha=90.00 beta=90.00 gamma=90.00
Element x y z (fractional)
Pm 0.000 0.000 0.000
Pm 0.000 0.000 0.689
Pm 0.000 0.000 0.311
Hg 0.500 0.500 0.500
Pt 0.500 0.500 0.836
Pt 0.500 0.500 0.164

Its crystal system is tetragonal. For the spin magnetization, the calculation gives 0.0 μB/f.u. Its space group is P4/mmm, No. 123. As for the calculated volume: 24.66 Å³/atom.



Unit: meV per atom. Relative energies: w 187; x 0.



w | Pm3HgPt after structural relaxation, computed with GGA-PBE.

Unit cell a=8.620 b=7.069 c=9.276 alpha=96.90 beta=90.00 gamma=90.00
Element x y z (fractional)
Pm 0.116 0.677 0.782
Pm 0.884 0.323 0.218
Pm 0.616 0.823 0.218
Pm 0.384 0.177 0.782
Pm 0.713 0.469 0.898
Pm 0.287 0.531 0.102
Pm 0.213 0.031 0.102
Pm 0.787 0.969 0.898
Pm 0.017 0.192 0.626
Pm 0.983 0.808 0.374
Pm 0.517 0.308 0.374
Pm 0.483 0.692 0.626
Hg 0.810 0.541 0.557
Hg 0.190 0.459 0.443
Hg 0.310 0.959 0.443
Hg 0.690 0.041 0.557
Pt 0.051 0.303 0.928
Pt 0.949 0.697 0.072
Pt 0.551 0.197 0.072
Pt 0.449 0.803 0.928

Its crystal system is monoclinic. For the spin magnetization, the calculation gives 0.0 μB/f.u. Its space group is P2_1/c, No. 14. As for the calculated volume: 28.05 Å³/atom.



x | Pm3HgPt after structural relaxation, computed with GGA-PBE.

Unit cell a=4.737 b=7.147 c=8.699 alpha=90.00 beta=90.00 gamma=90.00
Element x y z (fractional)
Pm 0.750 0.750 0.059
Pm 0.250 0.250 0.941
Pm 0.750 0.999 0.664
Pm 0.750 0.501 0.664
Pm 0.250 0.001 0.336
Pm 0.250 0.499 0.336
Hg 0.750 0.250 0.172
Hg 0.250 0.750 0.828
Pt 0.750 0.750 0.397
Pt 0.250 0.250 0.603

Its crystal system is orthorhombic. For the spin magnetization, the calculation gives 0.0 μB/f.u. Its space group is Pmmn, No. 59. As for the calculated volume: 29.45 Å³/atom.



Unit: meV per atom. Relative energies: w 0; x 12.



w | Pm4HgPt2 after structural relaxation, computed with GGA-PBE.

Unit cell a=7.897 b=7.897 c=7.897 alpha=108.52 beta=111.38 gamma=108.52
Element x y z (fractional)
Pm 0.146 0.893 0.391
Pm 0.609 0.754 0.501
Pm 0.003 0.607 0.749
Pm 0.251 0.254 0.859
Pm 0.604 0.746 0.997
Pm 0.747 0.246 0.854
Pm 0.499 0.107 0.253
Pm 0.141 0.393 0.396
Hg 0.000 0.000 0.000
Hg 0.750 0.500 0.250
Pt 0.875 0.118 0.493
Pt 0.507 0.382 0.625
Pt 0.375 0.882 0.757
Pt 0.243 0.618 0.125

Its crystal system is tetragonal. For the spin magnetization, the calculation gives 0.0 μB/f.u. Its space group is I-42d, No. 122. As for the calculated volume: 27.06 Å³/atom.



x | Pm4HgPt2 after structural relaxation, computed with GGA-PBE.

Unit cell a=8.197 b=8.197 c=8.191 alpha=109.49 beta=109.47 gamma=109.49
Element x y z (fractional)
Pm 0.917 0.232 0.316
Pm 0.334 0.518 0.185
Pm 0.917 0.602 0.684
Pm 0.768 0.084 0.685
Pm 0.398 0.082 0.315
Pm 0.332 0.148 0.815
Pm 0.482 0.667 0.816
Pm 0.852 0.667 0.184
Hg 0.250 0.750 0.500
Hg 0.000 0.000 0.000
Pt 0.625 0.375 0.750
Pt 0.625 0.875 0.250
Pt 0.625 0.374 0.250
Pt 0.125 0.376 0.751

Its crystal system is tetragonal. For the spin magnetization, the calculation gives 0.0 μB/f.u. Its space group is I-42d, No. 122. As for the calculated volume: 30.25 Å³/atom.



Unit: meV per atom. Relative energies: w 0; x 47.



w | Pm12HgPt6 after structural relaxation, computed with GGA-PBE.

Unit cell a=8.590 b=8.590 c=8.590 alpha=101.25 beta=101.25 gamma=101.25
Element x y z (fractional)
Pm 0.824 0.577 0.425
Pm 0.425 0.824 0.577
Pm 0.577 0.425 0.824
Pm 0.176 0.423 0.575
Pm 0.575 0.176 0.423
Pm 0.423 0.575 0.176
Pm 0.071 0.928 0.332
Pm 0.072 0.668 0.929
Pm 0.668 0.929 0.072
Pm 0.929 0.072 0.668
Pm 0.928 0.332 0.071
Pm 0.332 0.071 0.928
Hg 0.000 0.000 0.000
Pt 0.691 0.861 0.388
Pt 0.612 0.309 0.139
Pt 0.139 0.612 0.309
Pt 0.309 0.139 0.612
Pt 0.388 0.691 0.861
Pt 0.861 0.388 0.691

Its crystal system is trigonal. For the spin magnetization, the calculation gives 0.0 μB/f.u. Its space group is R-3, No. 148. As for the calculated volume: 31.14 Å³/atom.



x | Pm12HgPt6 after structural relaxation, computed with GGA-PBE.

Unit cell a=8.870 b=8.870 c=8.870 alpha=109.47 beta=109.47 gamma=109.47
Element x y z (fractional)
Pm 0.301 0.121 0.820
Pm 0.301 0.481 0.180
Pm 0.699 0.519 0.820
Pm 0.699 0.879 0.180
Pm 0.121 0.820 0.301
Pm 0.481 0.180 0.301
Pm 0.519 0.820 0.699
Pm 0.879 0.180 0.699
Pm 0.820 0.301 0.121
Pm 0.180 0.301 0.481
Pm 0.820 0.699 0.519
Pm 0.180 0.699 0.879
Hg 0.000 0.000 0.000
Pt 0.364 0.500 0.864
Pt 0.636 0.500 0.136
Pt 0.500 0.864 0.364
Pt 0.500 0.136 0.636
Pt 0.864 0.364 0.500
Pt 0.136 0.636 0.500

Its crystal system is cubic. For the spin magnetization, the calculation gives 0.0 μB/f.u. Its space group is Im-3, No. 204. As for the calculated volume: 28.28 Å³/atom.



Unit: meV per atom. Relative energies: w 63; x 0.



w | Pm4Hg2Pt after structural relaxation, computed with GGA-PBE.

Unit cell a=4.014 b=6.786 c=8.866 alpha=114.12 beta=103.08 gamma=90.00
Element x y z (fractional)
Pm 0.906 0.256 0.811
Pm 0.094 0.744 0.189
Pm 0.615 0.277 0.229
Pm 0.385 0.723 0.771
Hg 0.745 0.789 0.489
Hg 0.255 0.211 0.511
Pt 0.000 0.000 0.000

Its crystal system is monoclinic. For the spin magnetization, the calculation gives 0.0 μB/f.u. Its space group is C2/m, No. 12. As for the calculated volume: 30.51 Å³/atom.



x | Pm4Hg2Pt after structural relaxation, computed with GGA-PBE.

Unit cell a=5.529 b=5.529 c=8.528 alpha=108.92 beta=108.92 gamma=90.00
Element x y z (fractional)
Hg 0.613 0.613 0.225
Hg 0.387 0.387 0.775
Pt 0.000 0.000 0.000
Pm 0.811 0.811 0.623
Pm 0.189 0.189 0.377
Pm 0.000 0.500 0.000
Pm 0.500 0.000 0.000

Its crystal system is tetragonal. For the spin magnetization, the calculation gives 0.0 μB/f.u. Its space group is I4/mmm, No. 139. As for the calculated volume: 33.10 Å³/atom.



Unit: meV per atom. Relative energies: w 0; x 126.



w | PmPu2Hg3 after structural relaxation, computed with GGA-PBE.

Unit cell a=3.372 b=3.372 c=13.692 alpha=90.00 beta=90.00 gamma=90.00
Element x y z (fractional)
Pm 0.500 0.500 0.500
Pu 0.500 0.500 0.833
Pu 0.500 0.500 0.167
Hg 0.000 0.000 0.000
Hg 0.000 0.000 0.667
Hg 0.000 0.000 0.333

Its crystal system is tetragonal. For the spin magnetization, the calculation gives 11.8 μB/f.u. Its space group is P4/mmm, No. 123. As for the calculated volume: 25.94 Å³/atom.



x | PmPu2Hg3 after structural relaxation, computed with GGA-PBE.

Unit cell a=5.351 b=5.351 c=6.533 alpha=90.00 beta=90.00 gamma=120.00
Element x y z (fractional)
Pm 0.000 0.000 0.000
Pu 0.667 0.333 0.354
Pu 0.333 0.667 0.646
Hg 0.000 0.000 0.500
Hg 0.667 0.333 0.848
Hg 0.333 0.667 0.152

Its crystal system is trigonal. For the spin magnetization, the calculation gives 12.1 μB/f.u. Its space group is P-3m1, No. 164. As for the calculated volume: 26.99 Å³/atom.



Unit: meV per atom. Relative energies: w 19; x 0.